1.
A relaxed structure of K2MgTc. Source: the Alexandria database, functional PBE-GGA.

POSCAR file:
```
K2MgTc
1.0
1.5440 0.8915 12.5033
-1.5440 0.8915 12.5033
0.0000 -1.7829 12.5033
K Mg Tc
2 1 1
direct
0.2425 0.2425 0.2425 K
0.7575 0.7575 0.7575 K
0.0000 0.0000 0.0000 Mg
0.5000 0.5000 0.5000 Tc
```

Summary:
As for the size of the total moment: 0.73 μB/cell. As for the density of states at the Fermi level: 3.04 states/eV per cell. For the formation energy from the elements, the calculation gives 1.066 eV/atom.



2.
A relaxed structure of Pu3Sb2H. Source: the Alexandria database, functional PBE-GGA.

POSCAR file:
```
Pu3Sb2H
1.0
4.2364 -4.6169 0.0000
4.2364 4.6169 0.0000
-0.5389 0.0000 6.9808
Pu Sb H
6 4 2
direct
0.0207 0.3976 0.7123 Pu
0.1449 0.1449 0.4559 Pu
0.3976 0.0207 0.7123 Pu
0.6024 0.9793 0.2877 Pu
0.8551 0.8551 0.5441 Pu
0.9793 0.6024 0.2877 Pu
0.0000 0.0000 0.0000 Sb
0.3410 0.6590 0.0000 Sb
0.5000 0.5000 0.5000 Sb
0.6590 0.3410 0.0000 Sb
0.1979 0.8021 0.5000 H
0.8021 0.1979 0.5000 H
```

Summary:
The energy above the most stable polymorph in this dataset is 3.62 kcal/mol of atoms. As for the size of the total moment: 12.11 μB/cell. As for the density of states at the Fermi level: 31.68 states/eV per cell.



3.
A relaxed structure of V5Co2NiRh2. Source: the Alexandria database, functional PBE-GGA.

POSCAR file:
```
V5Co2NiRh2
1.0
9.5180 0.0000 0.0000
0.0000 9.5180 0.0000
0.0000 0.0000 2.9231
V Co Ni Rh
10 4 2 4
direct
0.0000 0.5000 0.0000 V
0.0804 0.1890 0.0000 V
0.1890 0.9196 0.0000 V
0.3110 0.4196 0.0000 V
0.4196 0.6890 0.0000 V
0.5000 0.0000 0.0000 V
0.5804 0.3110 0.0000 V
0.6890 0.5804 0.0000 V
0.8110 0.0804 0.0000 V
0.9196 0.8110 0.0000 V
0.1309 0.3691 0.5000 Co
0.3691 0.8691 0.5000 Co
0.6309 0.1309 0.5000 Co
0.8691 0.6309 0.5000 Co
0.0000 0.0000 0.5000 Ni
0.5000 0.5000 0.5000 Ni
0.1692 0.6692 0.5000 Rh
0.3308 0.1692 0.5000 Rh
0.6692 0.8308 0.5000 Rh
0.8308 0.3308 0.5000 Rh
```

Summary:
As for the size of the total moment: 2.96 μB/cell. As for the density of states at the Fermi level: 24.91 states/eV per cell. For the formation energy from the elements, the calculation gives 0.028 eV/atom.



4.
A relaxed structure of PtBrCl2. Source: the Alexandria database, functional PBE-GGA.

POSCAR file:
```
PtBrCl2
1.0
1.7620 -4.3108 0.0000
1.7620 4.3108 0.0000
0.0000 0.0000 8.7325
Pt Br Cl
1 1 2
direct
0.0000 0.0000 0.0000 Pt
0.5000 0.5000 0.8095 Br
0.0000 0.0000 0.5236 Cl
0.5000 0.5000 0.1768 Cl
```

Summary:
The energy above the most stable polymorph in this dataset is 7.14 kcal/mol of atoms. As for the size of the total moment: 0.96 μB/cell. As for the density of states at the Fermi level: 5.37 states/eV per cell. As for the uncorrected formation energy: 2.8 kJ/mol of atoms.



5.
A relaxed structure of ZrRe2Tc. Source: the Alexandria database, functional PBE-GGA.

POSCAR file:
```
ZrRe2Tc
1.0
1.4090 0.8135 9.5474
-1.4090 0.8135 9.5474
0.0000 -1.6270 9.5474
Zr Re Tc
1 2 1
direct
0.0000 0.0000 0.0000 Zr
0.2424 0.2424 0.2424 Re
0.4993 0.4993 0.4993 Re
0.7569 0.7569 0.7569 Tc
```

Summary:
The energy above the most stable polymorph in this dataset is 5.71 kcal/mol of atoms. As for the size of the total moment: 0.00 μB/cell. As for the density of states at the Fermi level: 3.25 states/eV per cell. For the formation energy from the elements, the calculation gives 0.181 eV/atom.



6.
A relaxed structure of Tm4Tl2N. Source: the Alexandria database, functional PBE-GGA.

POSCAR file:
```
Tm4Tl2N
1.0
6.3805 0.0000 0.0000
0.0000 6.8055 0.0000
-2.9050 0.0000 8.3535
Tm Tl N
8 4 2
direct
0.0345 0.0048 0.2806 Tm
0.0345 0.4952 0.2806 Tm
0.3487 0.7500 0.0461 Tm
0.4173 0.7500 0.6526 Tm
0.5827 0.2500 0.3474 Tm
0.6513 0.2500 0.9539 Tm
0.9655 0.5048 0.7194 Tm
0.9655 0.9952 0.7194 Tm
0.2009 0.2500 0.0219 Tl
0.3190 0.2500 0.5942 Tl
0.6810 0.7500 0.4058 Tl
0.7991 0.7500 0.9781 Tl
0.1928 0.7500 0.7904 N
0.8072 0.2500 0.2096 N
```

Summary:
The energy above the most stable polymorph in this dataset is 1.40 kcal/mol of atoms. As for the size of the total moment: 0.00 μB/cell. As for the density of states at the Fermi level: 10.27 states/eV per cell. As for the uncorrected formation energy: -62.7 kJ/mol of atoms.



7.
A relaxed structure of Na2VAuBr. Source: the Alexandria database, functional PBE-GGA.

POSCAR file:
```
Na2VAuBr
1.0
5.9785 0.0000 0.0000
0.0000 5.9785 0.0000
0.0000 0.0000 4.7235
Na V Au Br
2 1 1 1
direct
0.0000 0.5000 0.0000 Na
0.5000 0.0000 0.0000 Na
0.0000 0.0000 0.0000 V
0.5000 0.5000 0.5000 Au
0.0000 0.0000 0.5000 Br
```

Summary:
As for the size of the total moment: 4.14 μB/cell. As for the density of states at the Fermi level: 3.16 states/eV per cell. As for the uncorrected formation energy: 35.0 kJ/mol of atoms.



8.
A relaxed structure of CaSi3F. Source: the Alexandria database, functional PBE-GGA.

POSCAR file:
```
CaSi3F
1.0
5.4711 0.0000 0.0000
0.0000 5.4711 0.0000
0.0000 0.0000 5.4711
Ca Si F
1 3 1
direct
0.0000 0.0000 0.0000 Ca
0.0000 0.0000 0.5000 Si
0.0000 0.5000 0.0000 Si
0.5000 0.0000 0.0000 Si
0.5000 0.5000 0.5000 F
```

Summary:
The energy above the most stable polymorph in this dataset is 31.70 kcal/mol of atoms. As for the size of the total moment: 1.17 μB/cell. As for the density of states at the Fermi level: 7.90 states/eV per cell. As for the uncorrected formation energy: 127.7 kJ/mol of atoms.



9.
A relaxed structure of NaCrH. Source: the Alexandria database, functional PBE-GGA.

POSCAR file:
```
NaCrH
1.0
2.8484 0.0000 0.0000
1.4163 2.4723 0.0000
0.6869 0.3601 10.4666
Na Cr H
2 2 2
direct
0.1825 0.1898 0.3508 Na
0.8175 0.8102 0.6492 Na
0.4313 0.4290 0.9125 Cr
0.5687 0.5710 0.0875 Cr
0.0936 0.0892 0.8302 H
0.9064 0.9108 0.1698 H
```

Summary:
The energy above the most stable polymorph in this dataset is 0.02 kcal/mol of atoms. As for the size of the total moment: 0.00 μB/cell. As for the density of states at the Fermi level: 2.47 states/eV per cell.



10.
A relaxed structure of La5Ir2Au. Source: the Alexandria database, functional PBE-GGA.

POSCAR file:
```
La5Ir2Au
1.0
-4.0163 4.0163 7.0121
4.0163 -4.0163 7.0121
4.0163 4.0163 -7.0121
La Ir Au
10 4 2
direct
0.0000 0.0000 0.0000 La
0.0294 0.5294 0.8276 La
0.2018 0.0294 0.5000 La
0.2982 0.7982 0.8276 La
0.4706 0.2982 0.5000 La
0.5000 0.5000 0.0000 La
0.5294 0.7018 0.5000 La
0.7018 0.2018 0.1724 La
0.7982 0.9706 0.5000 La
0.9706 0.4706 0.1724 La
0.1372 0.3628 0.5000 Ir
0.3628 0.8628 0.2255 Ir
0.6372 0.1372 0.7745 Ir
0.8628 0.6372 0.5000 Ir
0.2500 0.2500 0.0000 Au
0.7500 0.7500 0.0000 Au
```

Summary:
As for the size of the total moment: 0.00 μB/cell. As for the density of states at the Fermi level: 19.50 states/eV per cell. For the formation energy from the elements, the calculation gives -0.676 eV/atom.



11.
A relaxed structure of CsNd2As2S6. Source: the Alexandria database, functional PBE-GGA.

POSCAR file:
```
CsNd2As2S6
1.0
7.6673 0.0000 0.0000
3.8147 6.9447 0.0000
3.6721 -1.8632 6.9765
Cs Nd As S
1 2 2 6
direct
0.0000 0.0000 0.0000 Cs
0.3705 0.3073 0.9627 Nd
0.6295 0.6927 0.0373 Nd
0.0027 0.6529 0.4405 As
0.9973 0.3471 0.5595 As
0.0901 0.3644 0.7938 S
0.2661 0.0841 0.2205 S
0.4032 0.4877 0.2446 S
0.5968 0.5123 0.7554 S
0.7339 0.9159 0.7795 S
0.9099 0.6356 0.2062 S
```

Summary:
As for the size of the total moment: 0.00 μB/cell. As for the density of states at the Fermi level: 3.14 states/eV per cell. As for the uncorrected formation energy: -97.7 kJ/mol of atoms.



12.
A relaxed structure of Nd6AlPb2. Source: the Alexandria database, functional PBE-GGA.

POSCAR file:
```
Nd6AlPb2
1.0
8.5958 0.0000 0.0000
-4.2979 7.4442 0.0000
0.0000 0.0000 4.5463
Nd Al Pb
6 1 2
direct
0.0000 0.2501 0.0000 Nd
0.0000 0.5933 0.5000 Nd
0.2501 0.0000 0.0000 Nd
0.4067 0.4067 0.5000 Nd
0.5933 0.0000 0.5000 Nd
0.7499 0.7499 0.0000 Nd
0.0000 0.0000 0.5000 Al
0.3333 0.6667 0.0000 Pb
0.6667 0.3333 0.0000 Pb
```

Summary:
As for the size of the total moment: 4.69 μB/cell. As for the density of states at the Fermi level: 8.82 states/eV per cell. For the formation energy from the elements, the calculation gives -0.368 eV/atom.



no.,total DFT energy (no corrections) (eV/atom)
1,-2.47
2,-9.18
3,-8.00
4,-2.82
5,-10.77
6,-5.07
7,-2.98
8,-2.70
9,-4.53
10,-6.38
11,-5.05
12,-4.79